No. 1
Here is crystalline Tm4Ni2Pd at its relaxed geometry from the Alexandria database. Energies are from PBE.

Structure (POSCAR):
```
Tm4Ni2Pd
1.0
2.377 1.372 7.705
-2.377 1.372 7.705
0.000 -2.745 7.705
Tm Ni Pd
4 2 1
Direct
0.122 0.122 0.122
0.373 0.373 0.373
0.627 0.627 0.627
0.878 0.878 0.878
0.249 0.249 0.249
0.751 0.751 0.751
0.500 0.500 0.500
```

Properties
For the energy above the most stable polymorph in this dataset, the calculation gives 10.4 meV per atom. As for the spin magnetization: 0.00 μB per cell. As for the formation energy: -3.38 eV per formula unit. The space-group type is No. 166.

No. 2
Here is crystalline Tm5Ni2Pd at its relaxed geometry from the Alexandria database. Energies are from PBE.

Structure (POSCAR):
```
Tm5Ni2Pd
1.0
-3.684 3.684 6.549
3.684 -3.684 6.549
3.684 3.684 -6.549
Tm Ni Pd
10 4 2
Direct
0.000 0.000 0.000
0.025 0.525 0.829
0.196 0.025 0.500
0.304 0.804 0.829
0.475 0.304 0.500
0.500 0.500 0.000
0.525 0.696 0.500
0.696 0.196 0.171
0.804 0.975 0.500
0.975 0.475 0.171
0.127 0.373 0.500
0.373 0.873 0.245
0.627 0.127 0.755
0.873 0.627 0.500
0.250 0.250 0.000
0.750 0.750 0.000
```

Properties
As for the spin magnetization: 0.00 μB per cell. As for the formation energy: -4.02 eV per formula unit. The space-group type is No. 140.

No. 3
Here is crystalline Tm8Ni2Pd at its relaxed geometry from the Alexandria database. Energies are from PBE.

Structure (POSCAR):
```
Tm8Ni2Pd
1.0
4.099 -6.228 0.000
4.099 6.228 0.000
-1.685 0.000 5.407
Tm Ni Pd
8 2 1
Direct
0.000 0.000 0.000
0.032 0.292 0.584
0.145 0.593 0.182
0.292 0.032 0.584
0.447 0.707 0.774
0.593 0.145 0.182
0.707 0.447 0.774
0.738 0.738 0.365
0.064 0.675 0.683
0.675 0.064 0.683
0.370 0.370 0.292
```

Properties
For the energy above the most stable polymorph in this dataset, the calculation gives 82.3 meV per atom. As for the spin magnetization: 0.00 μB per cell. As for the formation energy: -2.73 eV per formula unit. The space-group type is No. 8.

No. 4
Here is crystalline Tm3NiPd2 at its relaxed geometry from the Alexandria database. Energies are from PBE.

Structure (POSCAR):
```
Tm3NiPd2
1.0
11.271 0.000 0.000
0.000 4.117 0.000
0.000 0.000 11.048
Tm Ni Pd
12 4 8
Direct
0.049 0.250 0.126
0.119 0.750 0.558
0.225 0.250 0.802
0.275 0.750 0.302
0.381 0.250 0.058
0.451 0.750 0.626
0.549 0.250 0.374
0.619 0.750 0.942
0.725 0.250 0.698
0.775 0.750 0.198
0.881 0.250 0.442
0.951 0.750 0.874
0.125 0.250 0.374
0.375 0.750 0.874
0.625 0.250 0.126
0.875 0.750 0.626
0.003 0.750 0.306
0.185 0.750 0.004
0.315 0.250 0.504
0.497 0.250 0.806
0.503 0.750 0.194
0.685 0.750 0.496
0.815 0.250 0.996
0.997 0.250 0.694
```

Properties
As for the spin magnetization: 0.00 μB per cell. As for the formation energy: -4.45 eV per formula unit. The space-group type is No. 62.

No. 5
Here is crystalline Tm6NiPd5 at its relaxed geometry from the Alexandria database. Energies are from PBE.

Structure (POSCAR):
```
Tm6NiPd5
1.0
4.891 0.000 0.000
0.000 6.867 0.000
-2.407 0.000 7.310
Tm Ni Pd
6 1 5
Direct
0.000 0.245 0.000
0.000 0.755 0.000
0.336 0.248 0.672
0.336 0.752 0.672
0.664 0.248 0.328
0.664 0.752 0.328
0.500 0.000 0.000
0.167 0.000 0.335
0.168 0.500 0.336
0.500 0.500 0.000
0.832 0.500 0.664
0.833 0.000 0.665
```

Properties
As for the spin magnetization: 0.00 μB per cell. As for the formation energy: -10.24 eV per formula unit. The space-group type is No. 10.

No. 6
Here is crystalline Tm7Ni2Pd2 at its relaxed geometry from the Alexandria database. Energies are from PBE.

Structure (POSCAR):
```
Tm7Ni2Pd2
1.0
3.791 -5.259 0.000
3.791 5.259 0.000
0.000 0.000 6.747
Tm Ni Pd
7 2 2
Direct
0.000 0.000 0.000
0.000 0.500 0.257
0.000 0.500 0.743
0.500 0.000 0.257
0.500 0.000 0.743
0.500 0.500 0.252
0.500 0.500 0.748
0.288 0.712 0.000
0.712 0.288 0.000
0.191 0.191 0.500
0.809 0.809 0.500
```

Properties
For the energy above the most stable polymorph in this dataset, the calculation gives 164.1 meV per atom. As for the spin magnetization: 0.00 μB per cell. As for the formation energy: -3.80 eV per formula unit. The space-group type is No. 65.

No. 7
Here is crystalline Tm4NiPd at its relaxed geometry from the Alexandria database. Energies are from PBE.

Structure (POSCAR):
```
Tm4NiPd
1.0
-4.581 4.581 3.986
4.581 -4.581 3.986
4.581 4.581 -3.986
Tm Ni Pd
8 2 2
Direct
0.198 0.000 0.198
0.230 0.524 0.294
0.230 0.937 0.706
0.274 0.480 0.794
0.687 0.480 0.206
0.750 0.052 0.302
0.750 0.448 0.698
0.802 0.000 0.802
0.243 0.243 0.000
0.993 0.493 0.500
0.486 0.986 0.500
0.736 0.736 0.000
```

Properties
For the energy above the most stable polymorph in this dataset, the calculation gives 88.1 meV per atom. As for the spin magnetization: 0.00 μB per cell. As for the formation energy: -1.93 eV per formula unit. The space-group type is No. 109.

No. 8
Here is crystalline Tm2Ni15Pd2 at its relaxed geometry from the Alexandria database. Energies are from PBE.

Structure (POSCAR):
```
Tm2Ni15Pd2
1.0
4.193 2.421 4.033
-4.193 2.421 4.033
0.000 -4.841 4.033
Tm Ni Pd
2 15 2
Direct
0.157 0.157 0.157
0.843 0.843 0.843
0.000 0.500 0.500
0.150 0.150 0.661
0.150 0.661 0.150
0.200 0.500 0.800
0.200 0.800 0.500
0.339 0.850 0.850
0.500 0.000 0.500
0.500 0.200 0.800
0.500 0.500 0.000
0.500 0.800 0.200
0.661 0.150 0.150
0.800 0.200 0.500
0.800 0.500 0.200
0.850 0.339 0.850
0.850 0.850 0.339
0.392 0.392 0.392
0.608 0.608 0.608
```

Properties
As for the spin magnetization: 7.03 μB per cell. As for the formation energy: -4.23 eV per formula unit. The space-group type is No. 166.

No. 9
Here is crystalline Tm2NiPd at its relaxed geometry from the Alexandria database. Energies are from PBE.

Structure (POSCAR):
```
Tm2NiPd
1.0
0.000 3.407 3.407
3.407 0.000 3.407
3.407 3.407 0.000
Tm Ni Pd
2 1 1
Direct
0.250 0.250 0.250
0.750 0.750 0.750
0.000 0.000 0.000
0.500 0.500 0.500
```

Properties
For the energy above the most stable polymorph in this dataset, the calculation gives 26.9 meV per atom. As for the spin magnetization: 0.00 μB per cell. As for the formation energy: -2.74 eV per formula unit. The space-group type is No. 225.

No. 10
Here is crystalline Tm2NiPd at its relaxed geometry from the Alexandria database. Energies are from PBE.

Structure (POSCAR):
```
Tm2NiPd
1.0
5.473 0.000 0.000
0.000 4.302 0.000
-2.554 0.000 6.968
Tm Ni Pd
4 2 2
Direct
0.216 0.250 0.434
0.226 0.250 0.927
0.774 0.750 0.073
0.784 0.750 0.566
0.340 0.750 0.708
0.660 0.250 0.292
0.336 0.750 0.211
0.664 0.250 0.789
```

Properties
For the energy above the most stable polymorph in this dataset, the calculation gives 0.0 meV per atom. As for the spin magnetization: 0.00 μB per cell. As for the formation energy: -2.85 eV per formula unit. The space-group type is No. 11.

No. 11
Here is crystalline TmNi4Pd at its relaxed geometry from the Alexandria database. Energies are from PBE.

Structure (POSCAR):
```
TmNi4Pd
1.0
0.000 3.446 3.446
3.446 0.000 3.446
3.446 3.446 0.000
Tm Ni Pd
1 4 1
Direct
0.000 0.000 0.000
0.126 0.625 0.625
0.625 0.126 0.625
0.625 0.625 0.126
0.625 0.625 0.625
0.250 0.250 0.250
```

Properties
As for the spin magnetization: 0.97 μB per cell. As for the formation energy: -2.32 eV per formula unit. The space-group type is No. 216.

No. 12
Here is crystalline Tm4Ni2Pd at its relaxed geometry from the Alexandria database. Energies are from PBE.

Structure (POSCAR):
```
Tm4Ni2Pd
1.0
4.177 -6.026 0.000
4.177 6.026 0.000
-4.171 0.000 6.027
Tm Ni Pd
8 4 2
Direct
0.002 0.998 0.500
0.113 0.487 0.876
0.373 0.877 0.747
0.483 0.609 0.369
0.487 0.113 0.376
0.609 0.483 0.869
0.877 0.373 0.247
0.998 0.002 0.000
0.119 0.743 0.249
0.242 0.366 0.497
0.366 0.242 0.997
0.743 0.119 0.749
0.618 0.867 0.123
0.867 0.618 0.623
```

Properties
For the energy above the most stable polymorph in this dataset, the calculation gives 0.0 meV per atom. As for the spin magnetization: 0.00 μB per cell. As for the formation energy: -3.46 eV per formula unit. The space-group type is No. 9.